A plane-wave DFT calculation with PBE+U was carried out for a relaxed VPbBrO2 crystal.

The structure in POSCAR format:
```
VPbBrO2
1.0
4.154 0.000 0.000
0.000 7.744 -0.908
0.000 -2.811 7.029
V Pb Br O
2 2 2 4
direct
0.250 0.606 0.441 V
0.750 0.394 0.559 V
0.250 0.679 0.961 Pb
0.750 0.321 0.039 Pb
0.250 0.957 0.709 Br
0.750 0.043 0.291 Br
0.750 0.554 0.430 O
0.250 0.446 0.570 O
0.750 0.497 0.848 O
0.250 0.503 0.152 O
```

Values from the calculation:
Space group: P2_1/m, No. 11
Volume, Å³ per cell: 215
Total energy, eV/atom: -5.95